First-principles (PBE) data for a geometry-optimized Ti4PtRh2 structure, as listed in the Alexandria database.

a = 6.6995 Å, b = 6.6995 Å, c = 6.6995 Å
α = 108.53°, β = 111.37°, γ = 108.53°
Positions (direct):
Ti: 0.1330 0.8905 0.3795
Ti: 0.6205 0.7535 0.5110
Ti: 0.9925 0.6095 0.7390
Ti: 0.2610 0.2535 0.8705
Ti: 0.6170 0.7465 0.0075
Ti: 0.7575 0.2465 0.8670
Ti: 0.4890 0.1095 0.2425
Ti: 0.1295 0.3905 0.3830
Pt: 0.0000 0.0000 0.0000
Pt: 0.7500 0.5000 0.2500
Rh: 0.8750 0.1250 0.5000
Rh: 0.5000 0.3750 0.6250
Rh: 0.3750 0.8750 0.7500
Rh: 0.2500 0.6250 0.1250

Values from the calculation:
spin magnetization: 0.00 μB/cell
energy: -7.96 eV/atom
calculated density: 8.51 Mg/m³
energy relative to the elements: -3.4 eV per formula unit
SG: I-42d (122)
volume: 231 Å³/cell